Computed, not measured: LaFe2Br after structural relaxation at the PBE level of DFT.

Summary:
E_form (uncorrected): 437 meV/atom
volume: 21.1 A^3/atom
space-group type: P4/mmm

Cell and atoms, written as CIF:
```
data_LaFe2Br
_chemical_formula_sum 'La1 Fe2 Br1'
_cell_length_a 3.675
_cell_length_b 3.675
_cell_length_c 6.263
_cell_angle_alpha 90.00
_cell_angle_beta 90.00
_cell_angle_gamma 90.00
_space_group_name_H-M_alt 'P 1'
_space_group_IT_number 1
loop_
_space_group_symop_operation_xyz
'x,y,z'
loop_
_atom_site_label
_atom_site_fract_x
_atom_site_fract_y
_atom_site_fract_z
Fe1 0.000 0.000 0.559
Fe2 0.000 0.000 0.941
Br1 0.500 0.500 0.750
La1 0.500 0.500 0.250
```